# 1
DFT (PBE) results for crystalline NdBeCoP2 at its relaxed geometry.

As for the raw total energy: -0.225 Ha/atom. The calculated formation energy comes out at -837 meV per atom.

It has space group I-4m2 (No. 119), with a = 3.7405 Å, b = 3.7405 Å, c = 10.7920 Å, α = 90.00°, β = 90.00° and γ = 90.00°. The inequivalent atoms are Nd at (0.0000, 0.0000, 0.0000), Be at (0.0000, 0.5000, 0.2500), Co at (0.0000, 0.5000, 0.7500) and P at (0.0000, 0.0000, 0.3612).

=====

# 2
DFT (PBE) results for crystalline Nd2BeCoPt6 at its relaxed geometry.

As for the raw total energy: -0.232 Ha/atom. The calculated formation energy comes out at -659 meV per atom.

It has space group R-3m (No. 166, hexagonal axes), with a = 5.6743 Å, b = 5.6743 Å, c = 20.1875 Å, α = 90.00°, β = 90.00° and γ = 120.00°. The inequivalent atoms are Nd at (0.0000, 0.0000, 0.2088), Be at (0.0000, 0.0000, 0.0000), Co at (0.0000, 0.0000, 0.5000) and Pt at (0.0089, 0.5044, 0.2636).

=====

# 3
DFT (PBE) results for crystalline Be5Co4Ni at its relaxed geometry.

As for the raw total energy: -0.207 Ha/atom. The calculated formation energy comes out at -350 meV per atom.

It has space group P4/mmm (No. 123), with a = 2.5996 Å, b = 2.5996 Å, c = 12.9690 Å, α = 90.00°, β = 90.00° and γ = 90.00°. The inequivalent atoms are Be at (0.0000, 0.0000, 0.0000), Be at (0.0000, 0.0000, 0.1999), Be at (0.0000, 0.0000, 0.3960), Co at (0.5000, 0.5000, 0.0996), Co at (0.5000, 0.5000, 0.2986) and Ni at (0.5000, 0.5000, 0.5000).

=====

# 4
DFT (PBE) results for crystalline BeCo2Ni at its relaxed geometry.

As for the raw total energy: -0.221 Ha/atom. The calculated formation energy comes out at -79 meV per atom.

It has space group Cm (No. 8), with a = 8.0155 Å, b = 2.4672 Å, c = 4.1810 Å, α = 90.00°, β = 102.00° and γ = 90.00°. The inequivalent atoms are Be at (0.0000, 0.0000, 0.0000), Co at (0.2446, 0.5000, 0.2719), Co at (0.4984, 0.0000, 0.4952) and Ni at (0.2570, 0.0000, 0.7866).